# SiHNF2 | the Alexandria database | meta-GGA SCAN | single point on PBEsol structure
# - DFT total energy: -6.800 eV per atom
data_SiHNF2
_chemical_formula_sum 'Si1 H1 N1 F2'
_cell_length_a 3.550
_cell_length_b 3.550
_cell_length_c 3.486
_cell_angle_alpha 90.00
_cell_angle_beta 90.00
_cell_angle_gamma 90.00
_space_group_name_H-M_alt 'P 4/m m m'
_space_group_IT_number 123
_space_group_name_Hall '-P 4 2'
loop_
_atom_site_label
_atom_site_type_symbol
_atom_site_fract_x
_atom_site_fract_y
_atom_site_fract_z
Si1 Si 0.000 0.000 0.000
H1 H 0.500 0.500 0.500
N1 N 0.000 0.000 0.500
F1 F 0.000 0.500 0.000

# SnH6N2F4 | the Alexandria database | meta-GGA SCAN | single point on PBEsol structure
# - DFT total energy: -8.215 eV per atom
data_SnH6N2F4
_chemical_formula_sum 'Sn2 H12 N4 F8'
_cell_length_a 5.141
_cell_length_b 6.728
_cell_length_c 8.102
_cell_angle_alpha 90.00
_cell_angle_beta 114.43
_cell_angle_gamma 90.00
_space_group_name_H-M_alt 'P 1 21/c 1'
_space_group_IT_number 14
loop_
_space_group_symop_operation_xyz
'x,y,z'
'-x,-y,-z'
'-x,y+1/2,-z+1/2'
'x,-y+1/2,z+1/2'
loop_
_atom_site_label
_atom_site_type_symbol
_atom_site_fract_x
_atom_site_fract_y
_atom_site_fract_z
Sn1 Sn 0.000 0.000 0.000
H1 H 0.146 0.136 0.447
H2 H 0.321 0.181 0.675
H3 H 0.438 0.222 0.026
N1 N 0.257 0.240 0.546
F1 F 0.008 0.001 0.250
F2 F 0.357 0.666 0.590

# SnH3NF3 | the Alexandria database | meta-GGA SCAN | single point on PBEsol structure
# - DFT total energy: -9.694 eV per atom
data_SnH3NF3
_chemical_formula_sum 'Sn8 H24 N8 F24'
_cell_length_a 10.624
_cell_length_b 12.449
_cell_length_c 5.655
_cell_angle_alpha 90.00
_cell_angle_beta 107.95
_cell_angle_gamma 90.00
_space_group_name_H-M_alt 'C 1 2/c 1'
_space_group_IT_number 15
loop_
_space_group_symop_operation_xyz
'x,y,z'
'-x,-y,-z'
'-x,y,-z+1/2'
'x,-y,z+1/2'
'x+1/2,y+1/2,z'
'-x+1/2,-y+1/2,-z'
'-x+1/2,y+1/2,-z+1/2'
'x+1/2,-y+1/2,z+1/2'
loop_
_atom_site_label
_atom_site_type_symbol
_atom_site_fract_x
_atom_site_fract_y
_atom_site_fract_z
Sn1 Sn 0.193 0.100 0.007
H1 H 0.004 0.332 0.507
H2 H 0.109 0.259 0.379
H3 H 0.111 0.400 0.374
N1 N 0.051 0.332 0.368
F1 F 0.136 0.304 0.911
F2 F 0.173 0.155 0.352
F3 F 0.175 0.493 0.236

# SnH8N2F6 | the Alexandria database | meta-GGA SCAN | single point on PBEsol structure
# - DFT total energy: -7.558 eV per atom
data_SnH8N2F6
_chemical_formula_sum 'Sn1 H8 N2 F6'
_cell_length_a 6.0525
_cell_length_b 6.0525
_cell_length_c 4.6640
_cell_angle_alpha 90.00
_cell_angle_beta 90.00
_cell_angle_gamma 120.00
_space_group_name_H-M_alt 'P -3 m 1'
_space_group_IT_number 164
_space_group_name_Hall '-P 3 2"'
loop_
_atom_site_label
_atom_site_type_symbol
_atom_site_fract_x
_atom_site_fract_y
_atom_site_fract_z
Sn1 Sn 0.0000 0.0000 0.0000
H1 H 0.2409 0.4819 0.3973
H2 H 0.3333 0.6667 0.0959
N1 N 0.3333 0.6667 0.3173
F1 F 0.1573 0.3146 0.7619

# TiH8N2F5 | the Alexandria database | meta-GGA SCAN | single point on PBEsol structure
# - DFT total energy: -6.608 eV per atom
data_TiH8N2F5
_chemical_formula_sum 'Ti4 H32 N8 F20'
_cell_length_a 6.475
_cell_length_b 7.739
_cell_length_c 11.020
_cell_angle_alpha 90.00
_cell_angle_beta 90.00
_cell_angle_gamma 90.00
_space_group_name_H-M_alt 'P n m a'
_space_group_IT_number 62
loop_
_space_group_symop_operation_xyz
'x,y,z'
'-x,-y,-z'
'-x+1/2,-y,z+1/2'
'x+1/2,y,-z+1/2'
'x+1/2,-y+1/2,-z+1/2'
'-x+1/2,y+1/2,z+1/2'
'-x,y+1/2,-z'
'x,-y+1/2,z'
loop_
_atom_site_label
_atom_site_type_symbol
_atom_site_fract_x
_atom_site_fract_y
_atom_site_fract_z
Ti1 Ti 0.000 0.000 0.000
H1 H 0.025 0.250 0.277
H2 H 0.030 0.643 0.591
H3 H 0.033 0.138 0.733
H4 H 0.078 0.750 0.384
H5 H 0.179 0.250 0.630
H6 H 0.197 0.250 0.392
N1 N 0.042 0.250 0.370
N2 N 0.042 0.250 0.678
F1 F 0.008 0.526 0.823
F2 F 0.080 0.750 0.022
F3 F 0.209 0.554 0.496

# TlHNF2 | the Alexandria database | meta-GGA SCAN | single point on PBEsol structure
# - DFT total energy: -18.402 eV per atom
data_TlHNF2
_chemical_formula_sum 'Tl1 H1 N1 F2'
_cell_length_a 3.328
_cell_length_b 3.328
_cell_length_c 4.332
_cell_angle_alpha 90.00
_cell_angle_beta 90.00
_cell_angle_gamma 90.00
_space_group_name_H-M_alt 'P 4/m m m'
_space_group_IT_number 123
_space_group_name_Hall '-P 4 2'
loop_
_atom_site_label
_atom_site_type_symbol
_atom_site_fract_x
_atom_site_fract_y
_atom_site_fract_z
Tl1 Tl 0.000 0.000 0.000
H1 H 0.500 0.500 0.500
N1 N 0.500 0.500 0.000
F1 F 0.000 0.500 0.500

So what do the calculations give for total magnetic moment? Going down the list: 0.0000; 0.0000; 0.0000; 0.0001; 0.0625; 0.2312 μB/atom.